Run a
## MgPSeCl2 (PBE)

Data for a relaxed structure of MgPSeCl2.

Results
DOS at the Fermi energy   2.1 states/eV/cell
Total magnetic moment   0.000 μB/f.u.

Cell and atoms, written as POSCAR:
```
MgPSeCl2
1.0
4.8882 0.0000 0.0000
0.0000 4.8882 0.0000
0.0000 0.0000 5.1755
Cl Mg Se P
2 1 1 1
direct
0.5000 0.0000 0.0000
0.0000 0.5000 0.0000
0.5000 0.5000 0.5000
0.0000 0.0000 0.0000
0.0000 0.0000 0.5000
```

***

Run b
## MgPSeCl2 (PBE)

Data for a relaxed structure of MgPSeCl2.

Results
DOS at the Fermi energy   1.9 states/eV/cell
Total magnetic moment   1.058 μB/f.u.

Cell and atoms, written as POSCAR:
```
MgPSeCl2
1.0
4.4695 0.0000 0.0000
0.0000 4.4695 0.0000
0.0000 0.0000 9.4283
Se Mg Cl P
1 1 2 1
direct
0.5000 0.5000 0.5000
0.0000 0.0000 0.0000
0.5000 0.0000 0.0000
0.0000 0.5000 0.0000
0.0000 0.0000 0.5000
```

***

Most favorable first, least favorable last: run b, run a

***

Run a
## MgSnPCl2 (PBE)

Data for a relaxed structure of MgSnPCl2.

Results
DOS at the Fermi energy   0.6 states/eV/cell
Total magnetic moment   0.000 μB/f.u.

Cell and atoms, written as POSCAR:
```
MgSnPCl2
1.0
5.1578 0.0000 0.0000
0.0000 5.1578 0.0000
0.0000 0.0000 5.2656
Cl P Sn Mg
2 1 1 1
direct
0.5000 0.0000 0.0000
0.0000 0.5000 0.0000
0.0000 0.0000 0.5000
0.0000 0.0000 0.0000
0.5000 0.5000 0.5000
```

***

Run b
## MgSnPCl2 (PBE)

Data for a relaxed structure of MgSnPCl2.

Results
DOS at the Fermi energy   2.6 states/eV/cell
Total magnetic moment   0.000 μB/f.u.

Cell and atoms, written as POSCAR:
```
MgSnPCl2
1.0
-1.7754 -2.9247 -3.1637
1.4451 -3.6277 2.5428
-4.8396 -0.0147 2.7294
Mg Cl Sn P
1 2 1 1
direct
0.0000 0.0000 0.0000
0.0000 0.5000 0.0000
0.5000 0.0000 0.0000
0.5000 0.5000 0.5000
0.0000 0.0000 0.5000
```

***

Most favorable first, least favorable last: run b, run a

***

Run a
## SrMgP2Cl (PBE)

Data for a relaxed structure of SrMgP2Cl.

Results
DOS at the Fermi energy   4.1 states/eV/cell
Total magnetic moment   1.252 μB/f.u.

Cell and atoms, written as POSCAR:
```
SrMgP2Cl
1.0
-1.2078 -3.9487 -3.8733
3.4767 -3.6255 2.6120
-4.0879 -1.7306 3.0390
Cl Mg Sr P
1 1 1 2
direct
0.0000 0.0000 0.5000
0.5000 0.5000 0.5000
0.0000 0.0000 0.0000
0.5000 0.0000 0.0000
0.0000 0.5000 0.0000
```

***

Run b
## SrMgP2Cl (PBE)

Data for a relaxed structure of SrMgP2Cl.

Results
DOS at the Fermi energy   4.5 states/eV/cell
Total magnetic moment   0.449 μB/f.u.

Cell and atoms, written as POSCAR:
```
SrMgP2Cl
1.0
-3.8359 -2.8170 0.7877
2.4525 -2.3894 3.3979
-1.7545 3.4147 3.6676
P Mg Sr Cl
2 1 1 1
direct
0.0000 0.5000 0.0000
0.5000 0.0000 0.0000
0.0000 0.0000 0.0000
0.5000 0.5000 0.5000
0.0000 0.0000 0.5000
```

***

Most favorable first, least favorable last: run b, run a

***

Run a
## MgTeP2Cl (PBE)

Data for a relaxed structure of MgTeP2Cl.

Results
DOS at the Fermi energy   3.0 states/eV/cell
Total magnetic moment   0.000 μB/f.u.

Cell and atoms, written as POSCAR:
```
MgTeP2Cl
1.0
5.0362 0.0000 0.0000
0.0000 5.0362 0.0000
0.0000 0.0000 4.5531
Cl P Mg Te
1 2 1 1
direct
0.0000 0.0000 0.5000
0.0000 0.5000 0.0000
0.5000 0.0000 0.0000
0.0000 0.0000 0.0000
0.5000 0.5000 0.5000
```

***

Run b
## MgTeP2Cl (PBE)

Data for a relaxed structure of MgTeP2Cl.

Results
DOS at the Fermi energy   3.5 states/eV/cell
Total magnetic moment   0.000 μB/f.u.

Cell and atoms, written as POSCAR:
```
MgTeP2Cl
1.0
-3.8344 -3.1600 -1.1554
3.1332 -2.7151 -2.9723
1.2443 -2.9869 4.0401
Cl Mg P Te
1 1 2 1
direct
0.0000 0.0000 0.5000
0.5000 0.5000 0.5000
0.5000 0.0000 0.0000
0.0000 0.5000 0.0000
0.0000 0.0000 0.0000
```

***

Most favorable first, least favorable last: run a, run b